1.
This record from Alexandria describes SbBrF8 after structural relaxation. The functional is PBE-GGA.

Lattice parameters (Å, degrees): 10.2622 5.9817 11.2674 90.00 90.00 90.00
Closest atoms and distances in Å follow each position.
Space group Pcca (No. 54)
Unique sites:
Sb 0.0000 0.1203 0.2500  6 F 1.90-1.99
Br 0.2500 0.5000 0.0538  2 F 1.77
F 0.0918 0.1414 0.3957  1 Sb 1.90
F 0.1135 0.3677 0.1927  1 Sb 1.99
F 0.1166 0.0955 0.6876  1 Sb 1.90
F 0.1452 0.3815 0.9464  1 Br 1.77

ΔE_f (raw) ... -1.738 eV per atom
Volume ... 17.291 Å³ per atom
Calculated density ... 3.40 g/cm³

***

2.
This record from Alexandria describes LiInTe after structural relaxation. The functional is PBE-GGA.

Lattice parameters (Å, degrees): 15.3709 7.4590 5.9881 90.00 90.00 90.00
Closest atoms and distances in Å follow each position.
Space group Cmce (No. 64)
Unique sites:
Li 0.2500 0.2461 0.2500  4 Te 2.80-2.84, 2 Li 2.99
In 0.0000 0.1415 0.7022  2 Te 3.13, 3 In 3.21-3.40
Te 0.1527 0.0000 0.0000  4 Li 2.80-2.84, 2 In 3.13

Energy above the lowest structure with this stoichiometry ... 0.00 kJ/mol of atoms
ΔE_f (raw) ... -0.534 eV per atom
Volume ... 28.606 Å³ per atom
Calculated density ... 4.82 g/cm³

***

3.
This record from Alexandria describes LaBeNi2 after structural relaxation. The functional is PBE-GGA.

Lattice parameters (Å, degrees): 3.3238 3.3554 11.6478 90.00 90.00 90.00
Closest atoms and distances in Å follow each position.
Space group Imm2 (No. 44)
Unique sites:
La 0.0000 0.0000 0.0000  6 Ni 2.86-2.98
Be 0.0000 0.5000 0.7362  6 Ni 2.21-2.38
Ni 0.0000 0.0000 0.3607  2 Be 2.21, 2 Ni 2.41
Ni 0.0000 0.5000 0.2119  4 Be 2.38, 2 Ni 2.41

Volume ... 16.238 Å³ per atom
Calculated density ... 6.78 g/cm³
Calculated formation energy ... -0.033 eV per atom